[1]
Below is a geometry-optimized ScZnNiB structure, with properties calculated at the PBE level.

Results
The total DFT energy (no corrections) comes out at -79.890 eV/cell. The value obtained for the energy above the lowest structure with this stoichiometry is 0.0 kJ/mol of formula units. As for the size of the total moment: 0.0 μB/f.u. The volume is 12.486 Å³ per atom.

a = 5.8458 Å, b = 5.8458 Å, c = 5.8458 Å
α = 90.00°, β = 90.00°, γ = 90.00°
With the nearest neighbours (Å) after each atom.
Space group F-43m (No. 216)
One atom of each set of equivalent atoms:
Sc 0.0000 0.0000 0.0000 [4 per cell]  4 B 2.53, 4 Zn 2.53
Zn 0.2500 0.2500 0.2500 [4 per cell]  4 Ni 2.53, 4 Sc 2.53
Ni 0.0000 0.0000 0.5000 [4 per cell]  4 B 2.53, 4 Zn 2.53
B 0.2500 0.2500 0.7500 [4 per cell]  4 Ni 2.53, 4 Sc 2.53

[2]
Below is a geometry-optimized ScZnNiB structure, with properties calculated at the PBE level.

Results
The total DFT energy (no corrections) comes out at -77.182 eV/cell. The value obtained for the energy above the lowest structure with this stoichiometry is 65.3 kJ/mol of formula units. As for the size of the total moment: 0.0 μB/f.u. The volume is 12.391 Å³ per atom.

a = 5.8310 Å, b = 5.8310 Å, c = 5.8310 Å
α = 90.00°, β = 90.00°, γ = 90.00°
With the nearest neighbours (Å) after each atom.
Space group F-43m (No. 216)
One atom of each set of equivalent atoms:
Sc 0.0000 0.0000 0.0000 [4 per cell]  4 Ni 2.52, 4 Zn 2.52
Zn 0.2500 0.2500 0.7500 [4 per cell]  4 Sc 2.52, 4 B 2.52
Ni 0.2500 0.2500 0.2500 [4 per cell]  4 Sc 2.52, 4 B 2.52
B 0.0000 0.0000 0.5000 [4 per cell]  4 Ni 2.52, 4 Zn 2.52

[3]
Below is a geometry-optimized ZrScNiB structure, with properties calculated at the PBE level.

Results
The total DFT energy (no corrections) comes out at -101.481 eV/cell. The value obtained for the energy above the lowest structure with this stoichiometry is 226.9 kJ/mol of formula units. As for the size of the total moment: 1.4 μB/f.u. The volume is 14.474 Å³ per atom.

a = 6.1409 Å, b = 6.1409 Å, c = 6.1409 Å
α = 90.00°, β = 90.00°, γ = 90.00°
With the nearest neighbours (Å) after each atom.
Space group F-43m (No. 216)
One atom of each set of equivalent atoms:
Zr 0.0000 0.0000 0.0000 [4 per cell]  4 Ni 2.66, 4 Sc 2.66
Sc 0.2500 0.2500 0.2500 [4 per cell]  4 Zr 2.66, 4 B 2.66
Ni 0.2500 0.2500 0.7500 [4 per cell]  4 Zr 2.66, 4 B 2.66
B 0.0000 0.0000 0.5000 [4 per cell]  4 Ni 2.66, 4 Sc 2.66

[4]
Below is a geometry-optimized ZrScNiB structure, with properties calculated at the PBE level.

Results
The total DFT energy (no corrections) comes out at -110.888 eV/cell. The value obtained for the energy above the lowest structure with this stoichiometry is 0.0 kJ/mol of formula units. As for the size of the total moment: 0.0 μB/f.u. The volume is 14.890 Å³ per atom.

a = 6.1992 Å, b = 6.1992 Å, c = 6.1992 Å
α = 90.00°, β = 90.00°, γ = 90.00°
With the nearest neighbours (Å) after each atom.
Space group F-43m (No. 216)
One atom of each set of equivalent atoms:
Zr 0.0000 0.0000 0.0000 [4 per cell]  4 B 2.68, 4 Ni 2.68
Sc 0.0000 0.0000 0.5000 [4 per cell]  4 Ni 2.68, 4 B 2.68
Ni 0.2500 0.2500 0.7500 [4 per cell]  4 Zr 2.68, 4 Sc 2.68
B 0.2500 0.2500 0.2500 [4 per cell]  4 Zr 2.68, 4 Sc 2.68

[5]
Below is a geometry-optimized SiNiB4 structure, with properties calculated at the PBE level.

Results
The total DFT energy (no corrections) comes out at -36.365 eV/cell. The value obtained for the energy above the lowest structure with this stoichiometry is 0.0 kJ/mol of formula units. As for the size of the total moment: 0.0 μB/f.u. The volume is 8.113 Å³ per atom.

a = 2.9844 Å, b = 2.9844 Å, c = 6.3110 Å
α = 90.00°, β = 90.00°, γ = 120.00°
With the nearest neighbours (Å) after each atom.
Space group P6/mmm (No. 191)
One atom of each set of equivalent atoms:
Si 0.0000 0.0000 0.0000 [1 per cell]  12 B 2.36
Ni 0.0000 0.0000 0.5000 [1 per cell]  12 B 2.32
B 0.3333 0.6667 0.2548 [4 per cell]  3 B 1.72

[6]
Below is a geometry-optimized Si2NiB structure, with properties calculated at the PBE level.

Results
The total DFT energy (no corrections) comes out at -81.268 eV/cell. As for the size of the total moment: 0.0 μB/f.u. The volume is 11.388 Å³ per atom.

a = 5.6692 Å, b = 5.6692 Å, c = 5.6692 Å
α = 90.00°, β = 90.00°, γ = 90.00°
With the nearest neighbours (Å) after each atom.
Space group F-43m (No. 216)
One atom of each set of equivalent atoms:
Si 0.0000 0.0000 0.0000 [4 per cell]  4 Ni 2.45, 4 Si 2.45
Si 0.2500 0.2500 0.2500 [4 per cell]  4 B 2.45, 4 Si 2.45
Ni 0.2500 0.2500 0.7500 [4 per cell]  4 B 2.45, 4 Si 2.45
B 0.0000 0.0000 0.5000 [4 per cell]  4 Ni 2.45, 4 Si 2.45

[7]
Below is a geometry-optimized SiNiB4 structure, with properties calculated at the PBE level.

Results
The total DFT energy (no corrections) comes out at -72.233 eV/cell. The value obtained for the energy above the lowest structure with this stoichiometry is 24.0 kJ/mol of formula units. As for the size of the total moment: 0.0 μB/f.u. The volume is 8.164 Å³ per atom.

a = 2.9721 Å, b = 5.2296 Å, c = 6.3028 Å
α = 90.00°, β = 90.00°, γ = 90.00°
With the nearest neighbours (Å) after each atom.
Space group Immm (No. 71)
One atom of each set of equivalent atoms:
Si 0.0000 0.0000 0.0000 [2 per cell]  12 B 2.34-2.35
Ni 0.0000 0.0000 0.5000 [2 per cell]  12 B 2.32-2.36
B 0.0000 0.3334 0.2472 [8 per cell]  3 B 1.72-1.74

[8]
Below is a geometry-optimized SmNi12B6 structure, with properties calculated at the PBE level.

Results
The total DFT energy (no corrections) comes out at -476.508 eV/cell. As for the size of the total moment: 0.0 μB/f.u. The volume is 10.283 Å³ per atom.

a = 9.5816 Å, b = 7.3943 Å, c = 11.0307 Å
α = 90.00°, β = 90.00°, γ = 90.00°
With the nearest neighbours (Å) after each atom.
Space group Cmc2_1 (No. 36)
One atom of each set of equivalent atoms:
Sm 0.0000 0.1657 0.0000 [4 per cell]  6 B 3.02-3.30, 14 Ni 3.05-3.29
Ni 0.0000 0.2200 0.3986 [4 per cell]  3 B 2.00-2.08
Ni 0.0000 0.4338 0.5789 [4 per cell]  3 B 2.10-2.18
Ni 0.1312 0.3264 0.7631 [8 per cell]  4 B 1.99-2.10
Ni 0.1311 0.3432 0.2223 [8 per cell]  3 B 2.06-2.13
Ni 0.1323 0.0136 0.2414 [8 per cell]  3 B 2.04-2.11
Ni 0.1828 0.1877 0.5603 [8 per cell]  4 B 2.03-2.12
Ni 0.1936 0.4655 0.4296 [8 per cell]  4 B 2.02-2.10
B 0.0000 0.1646 0.6604 [4 per cell]  7 Ni 2.04-2.18
B 0.0000 0.4877 0.3420 [4 per cell]  7 Ni 2.06-2.11
B 0.2063 0.1947 0.3748 [8 per cell]  7 Ni 1.99-2.13
B 0.2145 0.4602 0.6120 [8 per cell]  7 Ni 2.02-2.12

[9]
Below is a geometry-optimized SmYNi8B2 structure, with properties calculated at the PBE level.

Results
The total DFT energy (no corrections) comes out at -74.584 eV/cell. The value obtained for the energy above the lowest structure with this stoichiometry is 18.1 kJ/mol of formula units. As for the size of the total moment: 0.0 μB/f.u. The volume is 12.633 Å³ per atom.

a = 5.0092 Å, b = 5.0092 Å, c = 6.9767 Å
α = 90.00°, β = 90.00°, γ = 120.00°
With the nearest neighbours (Å) after each atom.
Space group P6/mmm (No. 191)
One atom of each set of equivalent atoms:
Sm 0.0000 0.0000 0.0000 [1 per cell]  6 B 2.89, 12 Ni 2.89
Y 0.0000 0.0000 0.5000 [1 per cell]  18 Ni 2.89-3.23
Ni 0.0000 0.5000 0.2080 [6 per cell]  2 B 2.05
Ni 0.3333 0.6667 0.5000 [2 per cell]  6 Ni 2.50
B 0.3333 0.6667 0.0000 [2 per cell]  6 Ni 2.05

[10]
Below is a geometry-optimized SmYNi8B2 structure, with properties calculated at the PBE level.

Results
The total DFT energy (no corrections) comes out at -74.772 eV/cell. The value obtained for the energy above the lowest structure with this stoichiometry is 0.0 kJ/mol of formula units. As for the size of the total moment: 0.0 μB/f.u. The volume is 12.569 Å³ per atom.

a = 4.9992 Å, b = 4.9992 Å, c = 6.9691 Å
α = 90.00°, β = 90.00°, γ = 120.00°
With the nearest neighbours (Å) after each atom.
Space group P6/mmm (No. 191)
One atom of each set of equivalent atoms:
Sm 0.0000 0.0000 0.0000 [1 per cell]  18 Ni 2.89-3.23
Y 0.0000 0.0000 0.5000 [1 per cell]  12 Ni 2.88, 6 B 2.89
Ni 0.0000 0.5000 0.2933 [6 per cell]  2 B 2.04
Ni 0.3333 0.6667 0.0000 [2 per cell]  6 Ni 2.50
B 0.3333 0.6667 0.5000 [2 per cell]  6 Ni 2.04

[11]
Below is a geometry-optimized Ni21SnB20 structure, with properties calculated at the PBE level.

Results
The total DFT energy (no corrections) comes out at -265.211 eV/cell. As for the size of the total moment: 0.0 μB/f.u. The volume is 8.835 Å³ per atom.

a = 7.1860 Å, b = 7.1860 Å, c = 7.1860 Å
α = 90.00°, β = 90.00°, γ = 90.00°
With the nearest neighbours (Å) after each atom.
Space group Pm-3m (No. 221)
One atom of each set of equivalent atoms:
Ni 0.0000 0.0000 0.2677 [6 per cell]  8 B 2.15-2.18
Ni 0.0000 0.5000 0.5000 [3 per cell]  4 B 2.02
Ni 0.2098 0.2098 0.5000 [12 per cell]  6 B 2.10-2.18
Sn 0.5000 0.5000 0.5000 [1 per cell]  12 Ni 2.95
B 0.0000 0.3008 0.3008 [12 per cell]  2 B 1.77
B 0.2071 0.2071 0.2071 [8 per cell]  3 B 1.77

[12]
Below is a geometry-optimized Ni21Sn2B6 structure, with properties calculated at the PBE level.

Results
The total DFT energy (no corrections) comes out at -693.372 eV/cell. As for the size of the total moment: 0.7 μB/f.u. The volume is 10.299 Å³ per atom.

a = 10.6109 Å, b = 10.6109 Å, c = 10.6109 Å
α = 90.00°, β = 90.00°, γ = 90.00°
With the nearest neighbours (Å) after each atom.
Space group Fm-3m (No. 225)
One atom of each set of equivalent atoms:
Ni 0.0000 0.0000 0.0000 [4 per cell]  12 Ni 2.52
Ni 0.0000 0.1679 0.1679 [48 per cell]  2 B 2.10
Ni 0.1146 0.1146 0.3854 [32 per cell]  3 B 2.09
Sn 0.2500 0.2500 0.2500 [8 per cell]  4 Ni 2.49
B 0.0000 0.0000 0.2732 [24 per cell]  8 Ni 2.09-2.10